No. 1
## PrNd5Ag (GGA-PBE)

Data for an optimized crystal structure of PrNd5Ag.

```
data_PrNd5Ag
_chemical_formula_sum 'Pr4 Nd20 Ag4'
_space_group_name_H-M_alt 'C 1 2/c 1'
_space_group_IT_number 15
_cell_length_a 13.700
_cell_length_b 6.677
_cell_length_c 12.094
_cell_angle_alpha 90.00
_cell_angle_beta 122.26
_cell_angle_gamma 90.00
loop_
_space_group_symop_operation_xyz
'x,y,z'
'-x,-y,-z'
'-x,y,-z+1/2'
'x,-y,z+1/2'
'x+1/2,y+1/2,z'
'-x+1/2,-y+1/2,-z'
'-x+1/2,y+1/2,-z+1/2'
'x+1/2,-y+1/2,z+1/2'
loop_
_atom_site_label
_atom_site_fract_x
_atom_site_fract_y
_atom_site_fract_z
Pr1 0.000 0.012 0.250
Nd1 0.000 0.488 0.250
Nd2 0.072 0.251 0.555
Nd3 0.216 0.249 0.128
Ag1 0.250 0.250 0.500
```

Results
As for the energy of formation: 0.11 eV per atom. For the calculated total energy, the calculation gives -4.390 eV/atom. As for the density of states at the Fermi level: 1.352 states/eV per atom.


No. 2
## Tb2Si2GeIr5 (GGA-PBE)

Data for an optimized crystal structure of Tb2Si2GeIr5.

```
data_Tb2Si2GeIr5
_chemical_formula_sum 'Tb4 Si4 Ge2 Ir10'
_space_group_name_H-M_alt 'P 4/m b m'
_space_group_IT_number 127
_space_group_name_Hall '-P 4 2ab'
_cell_length_a 9.647
_cell_length_b 9.647
_cell_length_c 3.566
_cell_angle_alpha 90.00
_cell_angle_beta 90.00
_cell_angle_gamma 90.00
loop_
_atom_site_label
_atom_site_fract_x
_atom_site_fract_y
_atom_site_fract_z
Tb1 0.176 0.324 0.000
Si1 0.123 0.623 0.000
Ge1 0.000 0.000 0.000
Ir1 0.000 0.500 0.500
Ir2 0.067 0.789 0.500
```

Results
For the raw formation energy, the calculation gives -769 meV/atom. For the calculated total energy, the calculation gives -7.672 eV/atom. As for the density of states at the Fermi level: 0.398 states/eV per atom.


No. 3
## CrSbSe2 (GGA-PBE)

Data for an optimized crystal structure of CrSbSe2.

```
data_CrSbSe2
_chemical_formula_sum 'Cr4 Sb4 Se8'
_space_group_name_H-M_alt 'I -4 2 d'
_space_group_IT_number 122
_space_group_name_Hall 'I -4 2bw'
_cell_length_a 7.318
_cell_length_b 7.318
_cell_length_c 6.770
_cell_angle_alpha 90.00
_cell_angle_beta 90.00
_cell_angle_gamma 90.00
loop_
_atom_site_label
_atom_site_fract_x
_atom_site_fract_y
_atom_site_fract_z
Cr1 0.000 0.000 0.000
Sb1 0.000 0.000 0.500
Se1 0.202 0.250 0.125
```

Results
For the raw formation energy, the calculation gives -13 meV/atom. For the calculated total energy, the calculation gives -5.192 eV/atom. As for the density of states at the Fermi level: 0.345 states/eV per atom. As for the distance to the lowest polymorph of the same formula: 303 meV per atom.